Entry 1:
First-principles (PBE) data for a relaxed Li2ReTe crystal, as listed in Alexandria.

Calculated values
**V**: 15.65 Å³ per atom
**Uncorrected formation energy**: 0.2479 eV/atom

a b c (Å): 4.4572 4.4572 4.4572
angles (deg): 60.00 60.00 60.00
Sites, in units of the cell vectors:
Li 0.2500 0.2500 0.2500
Te 0.7500 0.7500 0.7500
Re 0.5000 0.5000 0.5000
Li 0.0000 0.0000 0.0000

---

Entry 2:
First-principles (PBE) data for a relaxed VB2W crystal, as listed in Alexandria.

Calculated values
**V**: 13.67 Å³ per atom
**Formation enthalpy at 0 K**: 815 meV/atom

a b c (Å): 4.7836 4.7836 5.8549
angles (deg): 65.89 65.89 90.00
Sites, in units of the cell vectors:
W 0.7500 0.2500 0.5000
B 0.3750 0.3809 0.7500
V 0.2500 0.7500 0.5000
B 0.8750 0.8691 0.7500
W 0.0000 0.0000 0.0000
V 0.5000 0.5000 0.0000
B 0.1309 0.6250 0.2500
B 0.6191 0.1250 0.2500

---

Summary of E above lowest polymorph in eV/atom
0.099, 1.459
(order as listed above)
Summary of total magnetic moment in μB/atom
0.000, 0.000
(order as listed above)